# LiTmSnHg

An optimized crystal structure of LiTmSnHg (PBE, Alexandria via LeMat-Bulk).

a b c (Å): 5.0626 5.0626 5.0626
angles (deg): 60.00 60.00 60.00
Sites, in units of the cell vectors:
Li 0.0000 0.0000 0.0000
Tm 0.5000 0.5000 0.5000
Sn 0.7500 0.7500 0.7500
Hg 0.2500 0.2500 0.2500

Results
Calculated formation energy (eV/atom): -0.50
Total energy (eV/atom): -3.173
Volume (Å³/f.u.): 91.75

=====

# TaAgTeN2

An optimized crystal structure of TaAgTeN2 (PBE, Alexandria via LeMat-Bulk).

a b c (Å): 4.1072 4.1072 5.1446
angles (deg): 90.00 90.00 90.00
Sites, in units of the cell vectors:
Ta 0.0000 0.0000 0.0000
Ag 0.5000 0.5000 0.0000
Te 0.5000 0.5000 0.5000
N 0.0000 0.5000 0.5000
N 0.5000 0.0000 0.5000

Results
Total energy (eV/atom): -4.866
Distance to the lowest polymorph of the same formula (meV/atom): 1779
Volume (Å³/f.u.): 86.78
Formation energy without anion corrections (meV/atom): 2033

=====

# La2TbSn

An optimized crystal structure of La2TbSn (PBE, Alexandria via LeMat-Bulk).

a b c (Å): 12.5650 12.5650 12.5650
angles (deg): 16.50 16.50 16.50
Sites, in units of the cell vectors:
La 0.0877 0.0877 0.0877
La 0.9123 0.9123 0.9123
Tb 0.5000 0.5000 0.5000
Sn 0.0000 0.0000 0.0000

Results
Calculated formation energy (eV/atom): 0.07
Total energy (eV/atom): -4.553
Distance to the lowest polymorph of the same formula (meV/atom): 529
Volume (Å³/f.u.): 139.61

=====

# Zr2SbTe

An optimized crystal structure of Zr2SbTe (PBE, Alexandria via LeMat-Bulk).

a b c (Å): 3.2713 3.2713 10.6570
angles (deg): 90.00 90.00 105.79
Sites, in units of the cell vectors:
Zr 0.0000 0.0000 0.0000
Zr 0.5000 0.5000 0.2210
Sb 0.5000 0.5000 0.7882
Te 0.0000 0.0000 0.4186

Results
Total energy (eV/atom): -6.459
Distance to the lowest polymorph of the same formula (meV/atom): 384
Volume (Å³/f.u.): 109.74
Formation energy without anion corrections (meV/atom): -369

=====

# AcAgAu

An optimized crystal structure of AcAgAu (PBE, Alexandria via LeMat-Bulk).

a b c (Å): 5.6598 5.6598 5.6598
angles (deg): 138.10 138.10 60.75
Sites, in units of the cell vectors:
Ac 0.0000 0.0000 0.0000
Ag 0.3250 0.3250 0.0000
Au 0.6627 0.6627 0.0000

Results
Calculated formation energy (eV/atom): -0.47
Total energy (eV/atom): -3.885
Distance to the lowest polymorph of the same formula (meV/atom): 115
Volume (Å³/f.u.): 79.98

=====

# Pm2Be3GeIr4

An optimized crystal structure of Pm2Be3GeIr4 (PBE, Alexandria via LeMat-Bulk).

a b c (Å): 4.1427 4.1427 9.5253
angles (deg): 90.00 90.00 90.00
Sites, in units of the cell vectors:
Pm 0.0000 0.5000 0.2340
Pm 0.5000 0.0000 0.7660
Be 0.0000 0.5000 0.8891
Be 0.5000 0.0000 0.1109
Be 0.5000 0.5000 0.5000
Ge 0.0000 0.0000 0.5000
Ir 0.0000 0.0000 0.0000
Ir 0.0000 0.5000 0.6347
Ir 0.5000 0.0000 0.3653
Ir 0.5000 0.5000 0.0000

Results
Calculated formation energy (eV/atom): -0.64
Total energy (eV/atom): -6.710
Volume (Å³/f.u.): 163.48

=====

# SnSb2Au3

An optimized crystal structure of SnSb2Au3 (PBE, Alexandria via LeMat-Bulk).

a b c (Å): 9.2066 9.2066 9.2066
angles (deg): 154.58 154.58 36.26
Sites, in units of the cell vectors:
Sn 0.0000 0.0000 0.0000
Sb 0.3409 0.3409 0.0000
Sb 0.6591 0.6591 0.0000
Au 0.1708 0.1708 0.0000
Au 0.5000 0.5000 0.0000
Au 0.8292 0.8292 0.0000

Results
Total energy (eV/atom): -3.766
Distance to the lowest polymorph of the same formula (meV/atom): 0
Volume (Å³/f.u.): 143.61
Formation energy without anion corrections (meV/atom): -86

=====

# Ce3Co4P4

An optimized crystal structure of Ce3Co4P4 (PBE, Alexandria via LeMat-Bulk).

a b c (Å): 11.7788 11.7788 11.7788
angles (deg): 160.98 160.88 27.09
Sites, in units of the cell vectors:
Ce 0.0000 0.0000 0.0000
Ce 0.3517 0.8517 0.5000
Ce 0.6483 0.1483 0.5000
Co 0.0963 0.5963 0.5000
Co 0.2490 0.2490 0.0000
Co 0.7510 0.7510 0.0000
Co 0.9037 0.4037 0.5000
P 0.1968 0.6968 0.5000
P 0.4482 0.4482 0.0000
P 0.5518 0.5518 0.0000
P 0.8032 0.3032 0.5000

Results
Calculated formation energy (eV/atom): -1.08
Total energy (eV/atom): -7.249
Volume (Å³/f.u.): 174.33

=====

# Ac3Ga2SnPt9

An optimized crystal structure of Ac3Ga2SnPt9 (PBE, Alexandria via LeMat-Bulk).

a b c (Å): 6.6271 6.6271 9.4595
angles (deg): 90.00 90.00 120.00
Sites, in units of the cell vectors:
Ac 0.0000 0.0000 0.0000
Ac 0.3333 0.6667 0.7236
Ac 0.6667 0.3333 0.2764
Ga 0.3333 0.6667 0.1774
Ga 0.6667 0.3333 0.8226
Sn 0.0000 0.0000 0.5000
Pt 0.0000 0.5000 0.0000
Pt 0.1407 0.2814 0.2768
Pt 0.1407 0.8593 0.2768
Pt 0.2814 0.1407 0.7232
Pt 0.5000 0.0000 0.0000
Pt 0.5000 0.5000 0.0000
Pt 0.7186 0.8593 0.2768
Pt 0.8593 0.1407 0.7232
Pt 0.8593 0.7186 0.7232

Results
Calculated formation energy (eV/atom): -0.66
Total energy (eV/atom): -5.779
Volume (Å³/f.u.): 359.79

=====

# PmSm6Dy2

An optimized crystal structure of PmSm6Dy2 (PBE, Alexandria via LeMat-Bulk).

a b c (Å): 3.6160 8.8467 9.5520
angles (deg): 90.20 100.91 90.09
Sites, in units of the cell vectors:
Pm 0.0000 0.0000 0.0000
Sm 0.1098 0.6652 0.2203
Sm 0.2214 0.3344 0.4428
Sm 0.3331 0.0005 0.6669
Sm 0.6669 0.9995 0.3331
Sm 0.7786 0.6656 0.5572
Sm 0.8902 0.3348 0.7797
Dy 0.4444 0.6661 0.8894
Dy 0.5556 0.3339 0.1106

Results
Calculated formation energy (eV/atom): 0.01
Total energy (eV/atom): -4.682
Distance to the lowest polymorph of the same formula (meV/atom): 0
Volume (Å³/f.u.): 300.04

=====

# NdScTiN3

An optimized crystal structure of NdScTiN3 (PBE, Alexandria via LeMat-Bulk).

a b c (Å): 6.9261 3.3236 7.9511
angles (deg): 90.00 97.17 90.00
Sites, in units of the cell vectors:
Nd 0.1697 0.2500 0.1930
Nd 0.8303 0.7500 0.8070
Sc 0.3644 0.7500 0.8769
Sc 0.6356 0.2500 0.1231
Ti 0.1273 0.2500 0.5918
Ti 0.8727 0.7500 0.4082
N 0.1353 0.2500 0.8404
N 0.1741 0.7500 0.4679
N 0.4191 0.7500 0.1360
N 0.5809 0.2500 0.8640
N 0.8259 0.2500 0.5321
N 0.8647 0.7500 0.1596

Results
Total energy (eV/atom): -8.691
Volume (Å³/f.u.): 90.80
Formation energy without anion corrections (meV/atom): -1362

=====

# KBeAl

An optimized crystal structure of KBeAl (PBE, Alexandria via LeMat-Bulk).

a b c (Å): 6.6917 6.6917 6.6917
angles (deg): 151.06 151.06 41.39
Sites, in units of the cell vectors:
K 0.0000 0.0000 0.0000
Be 0.2837 0.2837 0.0000
Al 0.7216 0.7216 0.0000

Results
Calculated formation energy (eV/atom): 0.55
Total energy (eV/atom): -2.309
Distance to the lowest polymorph of the same formula (meV/atom): 59
Volume (Å³/f.u.): 70.02

=====

# TbTiSe2

An optimized crystal structure of TbTiSe2 (PBE, Alexandria via LeMat-Bulk).

a b c (Å): 6.6344 6.6344 6.6344
angles (deg): 34.94 34.94 34.94
Sites, in units of the cell vectors:
Tb 0.0000 0.0000 0.0000
Ti 0.5000 0.5000 0.5000
Se 0.2412 0.2412 0.2412
Se 0.7588 0.7588 0.7588

Results
Total energy (eV/atom): -6.166
Distance to the lowest polymorph of the same formula (meV/atom): 26
Volume (Å³/f.u.): 85.50
Formation energy without anion corrections (meV/atom): -1292

=====

# RbInSnF6

An optimized crystal structure of RbInSnF6 (PBE, Alexandria via LeMat-Bulk).

a b c (Å): 5.6091 6.1999 6.2277
angles (deg): 60.15 89.94 89.88
Sites, in units of the cell vectors:
Rb 0.0000 0.0000 0.0000
In 0.5011 0.6664 0.6672
Sn 0.4995 0.3336 0.3328
F 0.2953 0.3938 0.9645
F 0.2959 0.6421 0.3933
F 0.2978 0.9683 0.6417
F 0.7043 0.3914 0.6389
F 0.7060 0.9661 0.3945
F 0.7067 0.6388 0.9661

Results
Total energy (eV/atom): -4.627
Volume (Å³/f.u.): 187.84
Formation energy without anion corrections (meV/atom): -2523

=====

# NiIr3Rh6

An optimized crystal structure of NiIr3Rh6 (PBE, Alexandria via LeMat-Bulk).

a b c (Å): 7.1878 4.4151 9.3965
angles (deg): 90.00 108.90 90.00
Sites, in units of the cell vectors:
Ni 0.1009 0.2500 0.0674
Ni 0.8991 0.7500 0.9326
Ir 0.1021 0.7500 0.7373
Ir 0.2976 0.2500 0.8702
Ir 0.3001 0.7500 0.5331
Ir 0.6999 0.2500 0.4669
Ir 0.7024 0.7500 0.1298
Ir 0.8979 0.2500 0.2627
Rh 0.0938 0.7500 0.2260
Rh 0.0985 0.2500 0.5672
Rh 0.2934 0.7500 0.0324
Rh 0.2959 0.2500 0.3628
Rh 0.4970 0.7500 0.3331
Rh 0.4993 0.2500 0.1661
Rh 0.5007 0.7500 0.8339
Rh 0.5030 0.2500 0.6669
Rh 0.7041 0.7500 0.6372
Rh 0.7066 0.2500 0.9676
Rh 0.9015 0.7500 0.4328
Rh 0.9062 0.2500 0.7740

Results
Calculated formation energy (eV/atom): 0.05
Total energy (eV/atom): -7.596
Distance to the lowest polymorph of the same formula (meV/atom): 0
Volume (Å³/f.u.): 141.06

=====

# InAgW

An optimized crystal structure of InAgW (PBE, Alexandria via LeMat-Bulk).

a b c (Å): 7.0189 7.0189 7.0189
angles (deg): 156.52 156.52 33.44
Sites, in units of the cell vectors:
In 0.0000 0.0000 0.0000
Ag 0.6746 0.6746 0.0000
W 0.3346 0.3346 0.0000

Results
Calculated formation energy (eV/atom): 0.54
Total energy (eV/atom): -5.638
Distance to the lowest polymorph of the same formula (meV/atom): 27
Volume (Å³/f.u.): 54.82

=====

# TiSnN2

An optimized crystal structure of TiSnN2 (PBE, Alexandria via LeMat-Bulk).

a b c (Å): 5.9283 5.9283 5.9283
angles (deg): 127.51 127.51 77.42
Sites, in units of the cell vectors:
Ti 0.0000 0.0000 0.0000
Ti 0.7500 0.2500 0.5000
Sn 0.2500 0.7500 0.5000
Sn 0.5000 0.5000 0.0000
N 0.0358 0.6250 0.9108
N 0.3750 0.2858 0.4108
N 0.7142 0.1250 0.0892
N 0.8750 0.9642 0.5892

Results
Total energy (eV/atom): -7.566
Volume (Å³/f.u.): 63.58
Formation energy without anion corrections (meV/atom): -429

=====

# Dy8Co2Te

An optimized crystal structure of Dy8Co2Te (PBE, Alexandria via LeMat-Bulk).

a b c (Å): 7.5603 7.5603 5.7824
angles (deg): 96.52 96.52 113.63
Sites, in units of the cell vectors:
Dy 0.0700 0.3394 0.6041
Dy 0.2488 0.7512 0.0000
Dy 0.3394 0.0700 0.6041
Dy 0.3882 0.3882 0.2097
Dy 0.6118 0.6118 0.7903
Dy 0.6606 0.9300 0.3959
Dy 0.7512 0.2488 0.0000
Dy 0.9300 0.6606 0.3959
Co 0.3092 0.6908 0.5000
Co 0.6908 0.3092 0.5000
Te 0.0000 0.0000 0.0000

Results
Total energy (eV/atom): -5.147
Volume (Å³/f.u.): 296.20
Formation energy without anion corrections (meV/atom): -223

=====

# Nd2AgSb3Pd4

An optimized crystal structure of Nd2AgSb3Pd4 (PBE, Alexandria via LeMat-Bulk).

a b c (Å): 4.5272 4.5272 10.8290
angles (deg): 90.00 90.00 90.00
Sites, in units of the cell vectors:
Nd 0.0000 0.5000 0.2417
Nd 0.5000 0.0000 0.7583
Ag 0.0000 0.0000 0.5000
Sb 0.0000 0.5000 0.8663
Sb 0.5000 0.0000 0.1337
Sb 0.5000 0.5000 0.5000
Pd 0.0000 0.0000 0.0000
Pd 0.0000 0.5000 0.6311
Pd 0.5000 0.0000 0.3689
Pd 0.5000 0.5000 0.0000

Results
Total energy (eV/atom): -5.308
Volume (Å³/f.u.): 221.95
Formation energy without anion corrections (meV/atom): -756

=====

# LaGa3Ru2

An optimized crystal structure of LaGa3Ru2 (PBE, Alexandria via LeMat-Bulk).

a b c (Å): 5.5591 5.5591 4.0958
angles (deg): 90.00 90.00 120.00
Sites, in units of the cell vectors:
La 0.0000 0.0000 0.0000
Ga 0.0000 0.5000 0.5000
Ga 0.5000 0.0000 0.5000
Ga 0.5000 0.5000 0.5000
Ru 0.3333 0.6667 0.0000
Ru 0.6667 0.3333 0.0000

Results
Calculated formation energy (eV/atom): -0.44
Total energy (eV/atom): -5.864
Volume (Å³/f.u.): 109.62

=====

# CeY2Rh

An optimized crystal structure of CeY2Rh (PBE, Alexandria via LeMat-Bulk).

a b c (Å): 3.4602 3.4602 8.7563
angles (deg): 90.00 90.00 90.00
Sites, in units of the cell vectors:
Ce 0.0000 0.0000 0.0000
Y 0.5000 0.5000 0.3091
Y 0.5000 0.5000 0.6909
Rh 0.0000 0.0000 0.5000

Results
Calculated formation energy (eV/atom): -0.35
Total energy (eV/atom): -6.907
Distance to the lowest polymorph of the same formula (meV/atom): 105
Volume (Å³/f.u.): 104.84

=====

# PmInPt2

An optimized crystal structure of PmInPt2 (PBE, Alexandria via LeMat-Bulk).

a b c (Å): 4.7959 4.7959 3.5941
angles (deg): 90.00 90.00 90.00
Sites, in units of the cell vectors:
Pm 0.0000 0.0000 0.0000
In 0.5000 0.5000 0.0000
Pt 0.0000 0.5000 0.5000
Pt 0.5000 0.0000 0.5000

Results
Calculated formation energy (eV/atom): -0.76
Total energy (eV/atom): -5.657
Volume (Å³/f.u.): 82.66

=====

# MgOs2

An optimized crystal structure of MgOs2 (PBE, Alexandria via LeMat-Bulk).

a b c (Å): 4.8312 4.8312 4.8312
angles (deg): 146.12 133.60 58.68
Sites, in units of the cell vectors:
Mg 0.0000 0.0000 0.0000
Os 0.3220 0.3220 0.0000
Os 0.6780 0.6780 0.0000

Results
Calculated formation energy (eV/atom): 0.26
Total energy (eV/atom): -7.760
Volume (Å³/f.u.): 45.13

=====

# La6Ag3Pd

An optimized crystal structure of La6Ag3Pd (PBE, Alexandria via LeMat-Bulk).

a b c (Å): 9.7584 5.0648 12.9326
angles (deg): 90.00 111.51 90.00
Sites, in units of the cell vectors:
La 0.0122 0.2500 0.1197
La 0.1075 0.7500 0.6157
La 0.2048 0.7500 0.3478
La 0.3288 0.2500 0.0318
La 0.4482 0.2500 0.7603
La 0.4685 0.2500 0.3858
La 0.5315 0.7500 0.6142
La 0.5518 0.7500 0.2397
La 0.6712 0.7500 0.9682
La 0.7952 0.2500 0.6522
La 0.8925 0.2500 0.3843
La 0.9878 0.7500 0.8803
Ag 0.1338 0.2500 0.7811
Ag 0.2473 0.2500 0.5131
Ag 0.3199 0.7500 0.8622
Ag 0.6801 0.2500 0.1378
Ag 0.7527 0.7500 0.4869
Ag 0.8662 0.7500 0.2189
Pd 0.2095 0.7500 0.1171
Pd 0.7905 0.2500 0.8829

Results
Calculated formation energy (eV/atom): -0.29
Total energy (eV/atom): -4.621
Distance to the lowest polymorph of the same formula (meV/atom): 0
Volume (Å³/f.u.): 297.33

=====

# NaGaCuB2

An optimized crystal structure of NaGaCuB2 (PBE, Alexandria via LeMat-Bulk).

a b c (Å): 4.1750 4.1750 4.6535
angles (deg): 90.00 90.00 90.00
Sites, in units of the cell vectors:
Na 0.0000 0.0000 0.0000
Ga 0.5000 0.5000 0.5000
Cu 0.5000 0.5000 0.0000
B 0.0000 0.5000 0.5000
B 0.5000 0.0000 0.5000

Results
Calculated formation energy (eV/atom): 1.22
Total energy (eV/atom): -3.143
Volume (Å³/f.u.): 81.11